Material: La2TlNiC
Method: DFT, GGA-PBE
State: relaxed

abc: 5.5335 5.5335 3.7142
angles: 90.00 90.00 90.00
Positions (direct):
La 0.0000 0.5000 0.0000
La 0.5000 0.0000 0.0000
Tl 0.0000 0.0000 0.5000
Ni 0.5000 0.5000 0.5000
C 0.5000 0.5000 0.0000

Properties
Energy relative to the elements   -0.24 eV/atom
Mass density   8.07 Mg/m³
SG   P4/mmm, No. 123